Record 1
CuTc after structural relaxation. Source: Alexandria, functional PBE-GGA.

Calculated formation energy   1738.2 meV/atom
Spin magnetization   1.402 μB per formula unit
Energy above the most stable polymorph in this dataset   1.645 eV per atom

Cell: 7.6379 7.6379 7.6379 Å, 90.00 90.00 90.00°
Each line ends with the local moment (μB).
Fractional coordinates of all 16 atoms:
1 Cu 0.1985 0.1985 0.1985  0.07
2 Cu 0.1985 0.8015 0.8015  0.07
3 Cu 0.8015 0.1985 0.8015  0.07
4 Cu 0.8015 0.8015 0.1985  0.07
5 Cu 0.6985 0.6985 0.6985  0.07
6 Cu 0.6985 0.3015 0.3015  0.07
7 Cu 0.3015 0.6985 0.3015  0.07
8 Cu 0.3015 0.3015 0.6985  0.07
9 Tc 0.3833 0.3833 0.3833  1.08
10 Tc 0.3833 0.6167 0.6167  1.08
11 Tc 0.6167 0.3833 0.6167  1.08
12 Tc 0.6167 0.6167 0.3833  1.08
13 Tc 0.8833 0.8833 0.8833  1.08
14 Tc 0.8833 0.1167 0.1167  1.08
15 Tc 0.1167 0.8833 0.1167  1.08
16 Tc 0.1167 0.1167 0.8833  1.08

---

Record 2
PmZn2Ir after structural relaxation. Source: Alexandria, functional PBE-GGA.

Calculated formation energy   -205.2 meV/atom
Spin magnetization   0.000 μB per formula unit
Energy above the most stable polymorph in this dataset   0.292 eV per atom

Cell: 4.6648 4.0495 4.0495 Å, 90.00 90.00 90.00°
Fractional coordinates of all 4 atoms:
1 Zn 0.0000 0.0000 0.5000
2 Zn 0.0000 0.5000 0.0000
3 Ir 0.5000 0.5000 0.5000
4 Pm 0.5000 0.0000 0.0000

---

> Which value of spin magnetization does entry 2 give?

0.000 μB per formula unit

---

> Which of these has the lowest calculated formation energy?

PmZn2Ir

---

> Number 2 is which compound?

PmZn2Ir